6
Lattice="3.7814 0.0000 0.0000 0.0000 3.7814 0.0000 0.0000 0.0000 8.1998" Properties=species:S:1:pos:R:3 comment="NdVNi (PBE, relaxed)" vol_a3_per_atom=19.54 energy_ev_per_atom=-6.5501 ef_mev_per_atom=6 pbc="T T T"
Nd 0.9454 0.9454 1.3841
Nd 2.8361 2.8361 6.8158
V 0.9454 2.8361 4.0999
V 2.8361 0.9454 4.0999
Ni 0.9454 0.9454 5.7681
Ni 2.8361 2.8361 2.4317

4
Lattice="1.7775 1.0262 9.5571 -1.7775 1.0262 9.5571 0.0000 -2.0525 9.5571" Properties=species:S:1:pos:R:3 comment="Nd2VNi (PBE, relaxed)" vol_a3_per_atom=26.15 energy_ev_per_atom=-5.4824 ef_mev_per_atom=626 pbc="T T T"
Nd 0.0000 0.0000 2.9097
Nd 0.0000 0.0000 25.7617
V 0.0000 0.0000 0.0000
Ni 0.0000 0.0000 14.3357

4
Lattice="1.5642 0.9031 10.4336 -1.5642 0.9031 10.4336 0.0000 -1.8061 10.4336" Properties=species:S:1:pos:R:3 comment="Nd2NiW (PBE, relaxed)" vol_a3_per_atom=22.11 energy_ev_per_atom=-6.1638 ef_mev_per_atom=904 pbc="T T T"
Nd 0.0000 0.0000 2.9325
Nd 0.0000 0.0000 28.3684
Ni 0.0000 0.0000 15.6504
W 0.0000 0.0000 0.0000

5
Lattice="2.1944 -7.0974 0.0000 2.1944 7.0974 0.0000 0.0000 0.0000 3.8906" Properties=species:S:1:pos:R:3 comment="Nd2YNi2 (PBE, relaxed)" vol_a3_per_atom=24.24 energy_ev_per_atom=-5.7632 ef_mev_per_atom=-251 pbc="T T T"
Nd 2.1944 5.0001 0.0000
Nd 2.1944 -5.0001 0.0000
Y 2.1944 0.0000 1.9453
Ni 2.1944 2.8661 1.9453
Ni 2.1944 -2.8661 1.9453